1.
Computed, not measured: crystalline NdPdAu at its relaxed geometry at the PBE level of DFT.

Summary:
The calculation puts the density of states at the Fermi level at 0.500 states/eV per atom. The energy above the most stable polymorph in this dataset is 16 meV/atom.

Cell: 5.5967 6.6954 7.6217 Å, 110.48 90.00 90.00°
With the nearest neighbours (Å) after each atom.
Fractional positions:
1 Nd 0.6240 0.2963 0.6234  5 Pd 2.93-3.16, 4 Au 3.14-3.27
2 Nd 0.8760 0.2963 0.1234  5 Pd 2.93-3.16, 4 Au 3.14-3.27
3 Nd 0.3760 0.7037 0.3766  5 Pd 2.93-3.16, 4 Au 3.14-3.27
4 Nd 0.1240 0.7037 0.8766  5 Pd 2.93-3.16, 4 Au 3.14-3.27
5 Au 0.9172 0.9281 0.2965  3 Pd 2.74-2.89, 1 Au 3.05
6 Au 0.4172 0.0719 0.2035  3 Pd 2.74-2.89, 1 Au 3.05
7 Au 0.5828 0.9281 0.7965  3 Pd 2.74-2.89, 1 Au 3.05
8 Au 0.0828 0.0719 0.7035  3 Pd 2.74-2.89, 1 Au 3.05
9 Pd 0.3575 0.3354 0.9879  1 Pd 2.67, 3 Au 2.74-2.89, 1 Nd 2.93
10 Pd 0.8575 0.6646 0.5121  1 Pd 2.67, 3 Au 2.74-2.89, 1 Nd 2.93
11 Pd 0.1425 0.3354 0.4879  1 Pd 2.67, 3 Au 2.74-2.89, 1 Nd 2.93
12 Pd 0.6425 0.6646 0.0121  1 Pd 2.67, 3 Au 2.74-2.89, 1 Nd 2.93

=====

2.
Computed, not measured: crystalline CsTiTl2Cl8 at its relaxed geometry at the PBE level of DFT.

Summary:
The raw formation energy comes out at -1.32 eV/atom. The calculation puts the density of states at the Fermi level at 0.517 states/eV per atom.

Cell: 7.0307 6.8652 9.2132 Å, 61.76 90.06 91.81°
With the nearest neighbours (Å) after each atom.
Fractional positions:
1 Tl 0.5196 0.2665 0.7539  2 Cl 2.81-2.91
2 Tl 0.4804 0.7335 0.2461  2 Cl 2.81-2.91
3 Cl 0.5009 0.2719 0.4360  2 Tl 2.81-2.91
4 Cl 0.0286 0.6887 0.2651  1 Ti 2.38
5 Cl 0.4991 0.7281 0.5640  2 Tl 2.81-2.91
6 Cl 0.2286 0.8548 0.8944  1 Ti 2.35
7 Cl 0.2421 0.1891 0.0647  1 Ti 2.35
8 Cl 0.7579 0.8109 0.9353  1 Ti 2.35
9 Cl 0.9714 0.3113 0.7349  1 Ti 2.38
10 Cl 0.7714 0.1452 0.1056  1 Ti 2.35
11 Cs 0.0000 0.0000 0.5000  10 Cl 3.67-3.95
12 Ti 0.0000 0.0000 0.0000  6 Cl 2.35-2.38

=====

3.
Computed, not measured: crystalline Ac3Ir2Pt at its relaxed geometry at the PBE level of DFT.

Summary:
As for the total energy: -6.499 eV per atom. The calculation puts the density of states at the Fermi level at 0.305 states/eV per atom.

Cell: 4.1169 4.3427 9.5664 Å, 90.00 102.43 90.00°
With the nearest neighbours (Å) after each atom.
Fractional positions:
1 Pt 0.0000 0.0000 0.0000  4 Ac 2.99, 4 Ir 3.26
2 Ir 0.1299 0.5000 0.2598  6 Ac 3.05-3.18, 2 Pt 3.26
3 Ir 0.8701 0.5000 0.7402  6 Ac 3.05-3.18, 2 Pt 3.26
4 Ac 0.5000 0.5000 0.0000  4 Pt 2.99, 4 Ir 3.18
5 Ac 0.3375 0.0000 0.6750  4 Ir 3.05
6 Ac 0.6625 0.0000 0.3250  4 Ir 3.05